Here is crystalline VGe2I6 at its relaxed geometry from the Alexandria database. Energies are from PBE-GGA.

Unit cell a=4.2192 b=9.0153 c=9.8530 alpha=107.05 beta=102.36 gamma=90.00
With the nearest neighbours (Å) after each atom.
Fractional coordinates of all 9 atoms:
1 I 0.9971 0.7832 0.9942  2 V 2.87, 1 Ge 3.00
2 Ge 0.1664 0.3346 0.3328  6 I 3.00-3.05
3 I 0.3451 0.9116 0.6902  1 V 2.85, 2 Ge 3.02
4 I 0.6675 0.5748 0.3350  3 Ge 3.02-3.05
5 Ge 0.8336 0.6654 0.6672  6 I 3.00-3.05
6 I 0.6549 0.0884 0.3098  1 V 2.85, 2 Ge 3.02
7 I 0.0029 0.2168 0.0058  2 V 2.87, 1 Ge 3.00
8 V 0.5000 0.0000 0.0000  6 I 2.85-2.87
9 I 0.3325 0.4252 0.6650  3 Ge 3.02-3.05

Properties
space group = C2/m
uncorrected formation energy = -362.3 meV/atom